Computed, not measured: a relaxed structure of Zr2VTcF at the PBE with a Hubbard U level of DFT.

**N(E_F)**: 0.82 states/eV per atom
**DFT total energy**: -34.7 eV/cell

Cell and atoms, written as CIF:
```
data_Zr2VTcF
_symmetry_space_group_name_H-M 'P 4/m m m'
_symmetry_Int_Tables_number 123
_symmetry_space_group_name_Hall '-P 4 2'
_cell_length_a 5.129
_cell_length_b 5.129
_cell_length_c 4.023
_cell_angle_alpha 90.00
_cell_angle_beta 90.00
_cell_angle_gamma 90.00
loop_
_atom_site_label
_atom_site_fract_x
_atom_site_fract_y
_atom_site_fract_z
Zr1 0.000 0.500 0.000
V1 0.000 0.000 0.500
Tc1 0.500 0.500 0.000
F1 0.500 0.500 0.500
```